Entry 1:
A plane-wave DFT calculation with SCAN was carried out for a PBEsol-optimized structure of Hg2OsPb.

Results
- Volume: 20.9 Å³/atom
- Calculated density: 15.86 g/cm³
- Energy of formation from the pure elements: 0.81 eV/atom
- E_tot: -70.19 eV/atom

Lattice parameters (Å, degrees): 3.2929 4.8905 5.4082 90.00 106.27 90.00
With the nearest neighbours (Å) after each atom.
Sites, in units of the cell vectors:
Hg: 0.1351 0.0000 0.2738  3 Hg 2.83-2.91, 2 Os 2.85
Hg: 0.8649 0.0000 0.7262  3 Hg 2.83-2.91, 2 Os 2.85
Os: 0.5000 0.5000 0.5000  2 Pb 2.70, 4 Hg 2.85
Pb: 0.5000 0.5000 0.0000  2 Os 2.70


Entry 2:
A plane-wave DFT calculation with SCAN was carried out for a PBEsol-optimized structure of K2P2Ir.

Results
- Volume: 19.7 Å³/atom
- Calculated density: 5.61 g/cm³
- Energy of formation from the pure elements: -0.56 eV/atom
- E_tot: -22.27 eV/atom

Lattice parameters (Å, degrees): 6.0250 6.0250 5.4207 90.00 90.00 90.00
With the nearest neighbours (Å) after each atom.
Sites, in units of the cell vectors:
K: 0.1809 0.3191 0.0000  5 K 3.08-3.13, 6 P 3.14-3.31
K: 0.3191 0.8191 0.0000  5 K 3.08-3.13, 6 P 3.14-3.31
K: 0.6809 0.1809 0.0000  5 K 3.08-3.13, 6 P 3.14-3.31
K: 0.8191 0.6809 0.0000  5 K 3.08-3.13, 6 P 3.14-3.31
P: 0.1319 0.6319 0.5000  1 P 2.25, 2 Ir 2.36
P: 0.3681 0.1319 0.5000  1 P 2.25, 2 Ir 2.36
P: 0.6319 0.8681 0.5000  1 P 2.25, 2 Ir 2.36
P: 0.8681 0.3681 0.5000  1 P 2.25, 2 Ir 2.36
Ir: 0.0000 0.0000 0.5000  4 P 2.36
Ir: 0.5000 0.5000 0.5000  4 P 2.36